Run P
First-principles (PBE) data for crystalline MnCu2Ni6 at its relaxed geometry, as listed in Alexandria via LeMat-Bulk.

The value obtained for the density is 8.702 g/cm3. The density of states at the Fermi level comes out at 1.51 states/eV per atom.

It has space group P-1 (No. 2), with a = 4.359 Å, b = 4.367 Å, c = 6.350 Å, α = 96.59°, β = 96.63° and γ = 119.94°. The distinct sites, in fractional coordinates, are Mn at (0.000, 0.000, 0.000), Cu at (0.450, 0.113, 0.334), Ni at (0.111, 0.445, 0.330), Ni at (0.221, 0.225, 0.667) and Ni at (0.333, 0.665, 0.001).

Run Q
First-principles (PBE) data for crystalline MnCu2Ni6 at its relaxed geometry, as listed in Alexandria via LeMat-Bulk.

The value obtained for the density is 8.627 g/cm3. The density of states at the Fermi level comes out at 1.78 states/eV per atom.

It has space group P-31m (No. 162), with a = 6.9710 Å, b = 6.9710 Å, c = 2.4432 Å, α = 90.00°, β = 90.00° and γ = 120.00°. The distinct sites, in fractional coordinates, are Mn at (0.0000, 0.0000, 0.0000), Cu at (0.3333, 0.6667, 0.5000) and Ni at (0.0000, 0.3316, 0.2334).

So which one is most stable? That would be run P, about 10.3 kJ/mol of atoms below the next structure.